Record 1
Below is a geometry-optimized Rb3TlZn2Sn2 structure, with properties calculated at the PBE-GGA level.

Cell lengths 6.6805, 6.4106, 7.2811 Å; angles 90.00, 108.88, 90.00 degrees
Last column: nearest neighbours and their distance in Å.
Element x y z (fractional)
Rb  0.0000  0.0000  0.0000  1 Tl 3.74, 4 Zn 3.79-3.90, 4 Sn 3.87-3.95, 4 Rb 4.07-4.12
Rb  0.0860  0.5000  0.3624  4 Sn 3.78-3.96, 4 Zn 3.80-4.17, 4 Rb 3.94-4.07, 2 Tl 3.98
Rb  0.6985  0.5000  0.6713  4 Sn 3.72-3.74, 2 Zn 3.91, 4 Rb 3.94-4.12, 2 Tl 4.03
Tl  0.3349  0.0000  0.6763  4 Sn 3.58-3.86, 2 Zn 3.67, 3 Rb 3.74-3.98
Zn  0.5461  0.2454  0.1563  2 Sn 2.63-2.65
Zn  0.5461  0.7546  0.1563  2 Sn 2.63-2.65
Sn  0.2817  0.5000  0.9114  2 Zn 2.63
Sn  0.7749  0.0000  0.4388  2 Zn 2.65

Values from the calculation:
- space-group type = Pm (6)
- DFT total energy (eV per atom) = -2.0655

Record 2
Below is a geometry-optimized ReW5 structure, with properties calculated at the PBE-GGA level.

Cell lengths 5.1953, 5.1953, 8.5394 Å; angles 90.00, 90.00, 119.78 degrees
Last column: nearest neighbours and their distance in Å.
Element x y z (fractional)
Re  0.1688  0.8312  0.7500  6 W 2.55-2.65
Re  0.8312  0.1688  0.2500  6 W 2.55-2.65
W  0.0000  0.0000  0.0000  2 Re 2.62, 4 W 2.63
W  0.0000  0.0000  0.5000  2 Re 2.62, 4 W 2.63
W  0.1687  0.3412  0.7500  2 Re 2.55-2.65, 4 W 2.55-2.66
W  0.3318  0.6682  0.0452  3 Re 2.92-3.14, 12 W 2.92-3.15
W  0.3318  0.6682  0.4548  3 Re 2.92-3.14, 12 W 2.92-3.15
W  0.3412  0.1687  0.2500  2 Re 2.55-2.65, 4 W 2.55-2.66
W  0.6588  0.8313  0.7500  2 Re 2.55-2.65, 4 W 2.55-2.66
W  0.6682  0.3318  0.5452  3 Re 2.92-3.14, 12 W 2.92-3.15
W  0.6682  0.3318  0.9548  3 Re 2.92-3.14, 12 W 2.92-3.15
W  0.8313  0.6588  0.2500  2 Re 2.55-2.65, 4 W 2.55-2.66

Values from the calculation:
- space-group type = Cmcm (63)
- DFT total energy (eV per atom) = -12.4700
- formation enthalpy at 0 K (eV/f.u.) = 2.4
- total magnetic moment (Bohr magnetons per cell) = 0.01

Record 3
Below is a geometry-optimized GdTm2Tl3AgPd2 structure, with properties calculated at the PBE-GGA level.

Cell lengths 3.7424, 7.9198, 7.9198 Å; angles 120.09, 90.00, 90.00 degrees
Last column: nearest neighbours and their distance in Å.
Element x y z (fractional)
Gd  0.0000  0.0000  0.0000  4 Pd 3.07, 6 Tl 3.15-3.40, 1 Ag 3.21
Tm  0.0000  0.4047  0.8108  4 Pd 3.03, 2 Tl 3.14, 1 Ag 3.21
Tm  0.0000  0.8108  0.4047  4 Pd 3.03, 2 Tl 3.14, 1 Ag 3.21
Tl  0.5000  0.1300  0.4051  2 Pd 2.87-2.91, 2 Ag 2.88, 2 Tm 3.14
Tl  0.5000  0.4051  0.1300  2 Pd 2.87-2.91, 2 Ag 2.88, 2 Tm 3.14
Tl  0.5000  0.6791  0.6791  2 Ag 2.86, 2 Pd 2.92, 2 Gd 3.15
Ag  0.0000  0.4065  0.4065  6 Tl 2.86-2.88
Pd  0.5000  0.0726  0.7348  3 Tl 2.87-2.92, 4 Tm 3.03, 2 Gd 3.07
Pd  0.5000  0.7348  0.0726  3 Tl 2.87-2.92, 4 Tm 3.03, 2 Gd 3.07

Values from the calculation:
- space-group type = Amm2 (38)
- DFT total energy (eV per atom) = -4.3009
- total magnetic moment (Bohr magnetons per cell) = 0.01